1.
A plane-wave DFT calculation with GGA-PBE was carried out for a relaxed structure of BeFe2CoAu.

Cell lengths 4.7651, 4.7651, 4.1219 Å; angles 90.00, 90.00, 90.00 degrees
Sites, in units of the cell vectors:
Be 0.0000 0.0000 0.0000
Fe 0.0000 0.5000 0.5000
Fe 0.5000 0.0000 0.5000
Co 0.5000 0.5000 0.0000
Au 0.0000 0.0000 0.5000

Output
The volume is 18.7 Å³ per atom. As for the total energy: -4.818 eV/atom. The value obtained for the spin magnetization is 1.632 μB/atom.

2.
A plane-wave DFT calculation with GGA-PBE was carried out for a relaxed structure of SrMnOs2.

Cell lengths 5.8768, 5.8768, 5.8768 Å; angles 151.24, 128.57, 59.99 degrees
Sites, in units of the cell vectors:
Sr 0.0000 0.0000 0.0000
Mn 0.7084 0.2084 0.5000
Os 0.2858 0.7858 0.5000
Os 0.4909 0.4909 0.0000

Output
The distance to the lowest polymorph of the same formula comes out at 2.225 eV per formula unit. The volume is 18.9 Å³ per atom. As for the total energy: -7.493 eV/atom. The value obtained for the spin magnetization is 0.837 μB/atom.

3.
A plane-wave DFT calculation with GGA-PBE was carried out for a relaxed structure of MnIr2W.

Cell lengths 4.6961, 2.7331, 4.7318 Å; angles 90.00, 109.72, 90.00 degrees
Sites, in units of the cell vectors:
Mn 0.0000 0.0000 0.0000
Ir 0.0000 0.5000 0.5000
Ir 0.5000 0.0000 0.5000
W 0.5000 0.5000 0.0000

Output
The distance to the lowest polymorph of the same formula comes out at 0.690 eV per formula unit. The volume is 14.3 Å³ per atom. As for the total energy: -10.051 eV/atom. The value obtained for the spin magnetization is 0.398 μB/atom.

4.
A plane-wave DFT calculation with GGA-PBE was carried out for a relaxed structure of BeGa2PdN.

Cell lengths 5.0373, 5.0373, 2.9154 Å; angles 90.00, 90.00, 90.00 degrees
Sites, in units of the cell vectors:
Be 0.0000 0.0000 0.0000
Ga 0.0000 0.5000 0.0000
Ga 0.5000 0.0000 0.0000
Pd 0.5000 0.5000 0.5000
N 0.0000 0.0000 0.5000

Output
The volume is 14.8 Å³ per atom. As for the total energy: -4.617 eV/atom. The value obtained for the spin magnetization is 0.000 μB/atom.

5.
A plane-wave DFT calculation with GGA-PBE was carried out for a relaxed structure of YCd2As2.

Cell lengths 8.0539, 8.0539, 8.0539 Å; angles 151.38, 151.38, 40.93 degrees
Sites, in units of the cell vectors:
Y 0.0000 0.0000 0.0000
Cd 0.2500 0.7500 0.5000
Cd 0.7500 0.2500 0.5000
As 0.4151 0.4151 0.0000
As 0.5849 0.5849 0.0000

Output
The volume is 23.9 Å³ per atom. As for the total energy: -3.914 eV/atom. The value obtained for the spin magnetization is 0.000 μB/atom.

6.
A plane-wave DFT calculation with GGA-PBE was carried out for a relaxed structure of Tm5MnCu4.

Cell lengths 3.3888, 3.3888, 17.5279 Å; angles 90.00, 90.00, 90.00 degrees
Sites, in units of the cell vectors:
Tm 0.0000 0.0000 0.0000
Tm 0.0000 0.0000 0.1980
Tm 0.0000 0.0000 0.3967
Tm 0.0000 0.0000 0.6033
Tm 0.0000 0.0000 0.8020
Mn 0.5000 0.5000 0.5000
Cu 0.5000 0.5000 0.0979
Cu 0.5000 0.5000 0.2974
Cu 0.5000 0.5000 0.7026
Cu 0.5000 0.5000 0.9021

Output
The volume is 20.1 Å³ per atom. As for the total energy: -4.991 eV/atom. The value obtained for the spin magnetization is 0.317 μB/atom.

7.
A plane-wave DFT calculation with GGA-PBE was carried out for a relaxed structure of NdAg2F6.

Cell lengths 6.6600, 6.6600, 5.2435 Å; angles 94.56, 94.56, 37.42 degrees
Sites, in units of the cell vectors:
Nd 0.0000 0.0000 0.0000
Ag 0.2691 0.2691 0.6944
Ag 0.7309 0.7309 0.3056
F 0.1003 0.1003 0.6446
F 0.1883 0.1883 0.1409
F 0.4403 0.4403 0.7993
F 0.5597 0.5597 0.2007
F 0.8117 0.8117 0.8591
F 0.8997 0.8997 0.3554

Output
The volume is 15.6 Å³ per atom. As for the total energy: -4.747 eV/atom. The value obtained for the spin magnetization is 0.116 μB/atom.

8.
A plane-wave DFT calculation with GGA-PBE was carried out for a relaxed structure of PrNd6Hg5.

Cell lengths 8.7142, 8.7142, 7.8299 Å; angles 90.00, 90.00, 143.89 degrees
Sites, in units of the cell vectors:
Pr 0.0000 0.0000 0.0000
Nd 0.1743 0.8257 0.2485
Nd 0.1743 0.8257 0.7515
Nd 0.5000 0.5000 0.2766
Nd 0.5000 0.5000 0.7234
Nd 0.8257 0.1743 0.2485
Nd 0.8257 0.1743 0.7515
Hg 0.0000 0.0000 0.5000
Hg 0.3316 0.6684 0.5000
Hg 0.3482 0.6518 0.0000
Hg 0.6518 0.3482 0.0000
Hg 0.6684 0.3316 0.5000

Output
The volume is 29.2 Å³ per atom. As for the total energy: -3.252 eV/atom. The value obtained for the spin magnetization is 0.008 μB/atom.

9.
A plane-wave DFT calculation with GGA-PBE was carried out for a relaxed structure of V2FeB.

Cell lengths 5.2498, 5.2498, 5.2498 Å; angles 98.69, 98.69, 134.27 degrees
Sites, in units of the cell vectors:
V 0.0259 0.6250 0.9009
V 0.3750 0.2759 0.4009
V 0.7241 0.1250 0.0991
V 0.8750 0.9741 0.5991
Fe 0.2500 0.7500 0.5000
Fe 0.5000 0.5000 0.0000
B 0.0000 0.0000 0.0000
B 0.7500 0.2500 0.5000

Output
The volume is 11.9 Å³ per atom. As for the total energy: -8.102 eV/atom. The value obtained for the spin magnetization is 0.241 μB/atom.

10.
A plane-wave DFT calculation with GGA-PBE was carried out for a relaxed structure of KBC.

Cell lengths 9.5792, 9.5792, 4.4176 Å; angles 90.00, 90.00, 161.13 degrees
Sites, in units of the cell vectors:
K 0.1239 0.8761 0.0000
K 0.8761 0.1239 0.0000
B 0.2505 0.7495 0.5000
B 0.7495 0.2505 0.5000
C 0.0340 0.9660 0.5000
C 0.9660 0.0340 0.5000

Output
The volume is 21.8 Å³ per atom. As for the total energy: -4.772 eV/atom. The value obtained for the spin magnetization is 0.122 μB/atom.